[1]
DFT (PBE) results for crystalline Ca2ErMgTe4 at its relaxed geometry.

Cell lengths 4.3627, 7.6991, 7.6003 Å; angles 109.42, 90.00, 90.00 degrees
With the nearest neighbours (Å) after each atom.
Element x y z (fractional)
1 Ca 0.5000 0.0000 0.5000  6 Te 3.14-3.17
2 Er 0.5000 0.5000 0.0000  6 Te 3.07-3.08
3 Mg 0.0000 0.0000 0.0000  6 Te 3.02-3.05
4 Ca 0.0000 0.5000 0.5000  6 Te 3.20
5 Te 0.5000 0.7604 0.7685  2 Mg 3.02, 1 Er 3.08, 3 Ca 3.17-3.20
6 Te 0.5000 0.2396 0.2315  2 Mg 3.02, 1 Er 3.08, 3 Ca 3.17-3.20
7 Te 0.0000 0.2500 0.7621  1 Mg 3.05, 2 Er 3.07, 3 Ca 3.14-3.20
8 Te 0.0000 0.7500 0.2379  1 Mg 3.05, 2 Er 3.07, 3 Ca 3.14-3.20

Values from the calculation:
Size of the total moment = 0.00 μB per cell
Crystal system = monoclinic
Uncorrected energy = -33.19 eV for the cell shown
Space-group type = P2/m (10)
Theoretical density = 5.394 g cm⁻³
Raw formation energy = -10.5 eV/f.u.
D(E_F) = 2.9 states/eV/cell

=====

[2]
DFT (PBE) results for crystalline La6Ge2SCl3 at its relaxed geometry.

Cell lengths 7.4450, 7.4450, 7.3816 Å; angles 99.68, 99.68, 120.08 degrees
With the nearest neighbours (Å) after each atom.
Element x y z (fractional)
1 Ge 0.3343 0.6657 0.0000  6 La 2.98-2.99
2 Cl 0.1747 0.8253 0.5000  6 La 3.08-3.14
3 La 0.5970 0.9230 0.7680  1 S 2.91, 2 Ge 2.98-2.99, 3 Cl 3.08
4 La 0.0770 0.4030 0.2320  1 S 2.91, 2 Ge 2.98-2.99, 3 Cl 3.08
5 La 0.7529 0.7529 0.2357  1 S 2.93, 2 Ge 2.99, 3 Cl 3.13-3.14
6 La 0.4030 0.0770 0.2320  1 S 2.91, 2 Ge 2.98-2.99, 3 Cl 3.08
7 Cl 0.5000 0.5000 0.5000  6 La 3.08-3.13
8 Ge 0.6657 0.3343 0.0000  6 La 2.98-2.99
9 Cl 0.8253 0.1747 0.5000  6 La 3.08-3.14
10 La 0.9230 0.5970 0.7680  1 S 2.91, 2 Ge 2.98-2.99, 3 Cl 3.08
11 S 0.0000 0.0000 0.0000  6 La 2.91-2.93
12 La 0.2471 0.2471 0.7643  1 S 2.93, 2 Ge 2.99, 3 Cl 3.13-3.14

Values from the calculation:
Size of the total moment = 0.00 μB per cell
Crystal system = monoclinic
Uncorrected energy = -66.87 eV for the cell shown
Space-group type = C2/m (12)
Theoretical density = 5.565 g cm⁻³
Raw formation energy = -18.4 eV/f.u.
D(E_F) = 7.9 states/eV/cell